Computed, not measured: SrV2WF after structural relaxation at the PBE+U level of DFT.

```
SrV2WF
1.0
5.461 0.000 0.000
0.000 5.461 0.000
0.000 0.000 4.308
Sr V W F
1 2 1 1
Direct
0.000 0.000 0.000
0.000 0.500 0.500
0.500 0.000 0.500
0.500 0.500 0.500
0.500 0.500 0.000
```

Values from the calculation:
Its uncorrected energy is -4.482 eV/atom. As for the total magnetization: 0.916 μB/atom.